Entry 1:
{"formula": "Dy2Te", "functional": "GGA-PBE", "state": "relaxed", "cell": [[3.8613, 0.0014, 0.0005], [0.0014, 3.8613, 0.0005], [-1.9308, -1.9308, 5.7831]], "species": ["Te", "Dy", "Dy"], "frac_coords": [[0.5000, 0.5000, 0.0000], [0.1560, 0.1560, 0.3116], [0.8440, 0.8440, 0.6884]], "sg": "I4/mmm", "n_ef_per_ev_cell": 2.0}

---

Entry 2:
{"formula": "Dy2Te3", "functional": "GGA-PBE", "state": "relaxed", "cell": [[-0.9743, -3.0031, 2.4902], [-0.3566, -3.3362, -7.4093], [9.4047, -2.4950, 0.6708]], "species": ["Te", "Te", "Te", "Te", "Te", "Te", "Dy", "Dy", "Dy", "Dy"], "frac_coords": [[0.4516, 0.9032, 0.2500], [0.6604, 0.3207, 0.0547], [0.3396, 0.6793, 0.9453], [0.3396, 0.6793, 0.5547], [0.5484, 0.0968, 0.7500], [0.6604, 0.3207, 0.4453], [0.2523, 0.5046, 0.2500], [0.0000, 0.0000, 0.0000], [0.0000, 0.0000, 0.5000], [0.7477, 0.4954, 0.7500]], "sg": "Cmcm", "n_ef_per_ev_cell": 2.4}

---

Entry 3:
{"formula": "DyTe", "functional": "GGA-PBE", "state": "relaxed", "cell": [[3.8901, 0.0000, -0.0038], [0.0000, 5.0383, 0.0000], [-1.9210, 0.0000, 5.7590]], "species": ["Dy", "Dy", "Te", "Te"], "frac_coords": [[0.1183, 0.7500, 0.2353], [0.8817, 0.2500, 0.7647], [0.6160, 0.2500, 0.2259], [0.3840, 0.7500, 0.7741]], "sg": "P2_1/m", "n_ef_per_ev_cell": 4.1}

---

Entry 4:
{"formula": "Dy4Te5", "functional": "GGA-PBE", "state": "relaxed", "cell": [[-0.8171, -2.4182, -2.9484], [1.2306, -7.7547, 3.4399], [-8.4045, -1.4187, 0.9136]], "species": ["Dy", "Dy", "Dy", "Dy", "Te", "Te", "Te", "Te", "Te"], "frac_coords": [[0.6563, 0.6874, 0.0000], [0.3437, 0.3126, 0.0000], [0.6563, 0.0000, 0.6874], [0.3437, 0.0000, 0.3126], [0.3042, 0.6958, 0.6958], [0.0000, 0.6958, 0.3042], [0.0000, 0.3042, 0.6958], [0.0000, 0.0000, 0.0000], [0.6958, 0.3042, 0.3042]], "sg": "I4/mmm", "n_ef_per_ev_cell": 6.1}

---

Entry 5:
{"formula": "Dy3Te2", "functional": "GGA-PBE", "state": "relaxed", "cell": [[-1.5201, -1.0176, 3.6807], [10.7079, 0.7166, 4.6205], [-1.8147, 11.4816, 2.4249]], "species": ["Dy", "Dy", "Dy", "Dy", "Dy", "Dy", "Dy", "Dy", "Dy", "Dy", "Dy", "Dy", "Te", "Te", "Te", "Te", "Te", "Te", "Te", "Te"], "frac_coords": [[0.7500, 0.7921, 0.7899], [0.7500, 0.7079, 0.2899], [0.7500, 0.1238, 0.9545], [0.2500, 0.2079, 0.2101], [0.2500, 0.9341, 0.3777], [0.2500, 0.8762, 0.0455], [0.2500, 0.5659, 0.8777], [0.2500, 0.2921, 0.7101], [0.2500, 0.6238, 0.5455], [0.7500, 0.4341, 0.1223], [0.7500, 0.3762, 0.4545], [0.7500, 0.0659, 0.6223], [0.7500, 0.0041, 0.1942], [0.2500, 0.3196, 0.9678], [0.7500, 0.8196, 0.5322], [0.2500, 0.5041, 0.3058], [0.7500, 0.6804, 0.0322], [0.2500, 0.9959, 0.8058], [0.2500, 0.1804, 0.4678], [0.7500, 0.4959, 0.6942]], "sg": "Pnma", "n_ef_per_ev_cell": 11.2}

---

Entry 6:
{"formula": "Dy5Te", "functional": "GGA-PBE", "state": "relaxed", "cell": [[-0.8192, 0.4815, -4.7796], [-2.6277, -3.9629, 0.0512], [-4.8436, 6.0833, 1.4430]], "species": ["Te", "Dy", "Dy", "Dy", "Dy", "Dy"], "frac_coords": [[0.0000, 0.0000, 0.0000], [0.5000, 0.1679, 0.3357], [0.0000, 0.3366, 0.6733], [0.5000, 0.8321, 0.6643], [0.5000, 0.5000, 0.0000], [0.0000, 0.6634, 0.3267]], "sg": "Cmmm", "n_ef_per_ev_cell": 8.7}

---

Entry 7:
{"formula": "Dy5Te3", "functional": "GGA-PBE", "state": "relaxed", "cell": [[6.1271, 0.0000, 0.0000], [0.0000, 7.8210, -4.5155], [0.0000, 0.0000, 9.0310]], "species": ["Dy", "Dy", "Dy", "Dy", "Dy", "Dy", "Dy", "Dy", "Dy", "Dy", "Te", "Te", "Te", "Te", "Te", "Te"], "frac_coords": [[0.7500, 0.2552, 0.0000], [0.2500, 0.2552, 0.2552], [0.0000, 0.3333, 0.6667], [0.0000, 0.6667, 0.3333], [0.5000, 0.3333, 0.6667], [0.5000, 0.6667, 0.3333], [0.2500, 0.7448, 0.0000], [0.7500, 0.0000, 0.2552], [0.2500, 0.0000, 0.7448], [0.7500, 0.7448, 0.7448], [0.7500, 0.0000, 0.6154], [0.2500, 0.0000, 0.3846], [0.7500, 0.6154, 0.0000], [0.2500, 0.3846, 0.0000], [0.7500, 0.3846, 0.3846], [0.2500, 0.6154, 0.6154]], "sg": "P6_3/mcm", "n_ef_per_ev_cell": 7.2}

---

Entry 8:
{"formula": "Dy2Te", "functional": "GGA-PBE", "state": "relaxed", "cell": [[3.9284, 0.0000, 0.0000], [0.0000, 8.2358, 0.0000], [0.0000, 0.0000, 10.6568]], "species": ["Te", "Te", "Te", "Te", "Dy", "Dy", "Dy", "Dy", "Dy", "Dy", "Dy", "Dy"], "frac_coords": [[0.7500, 0.1981, 0.3295], [0.2500, 0.3019, 0.8295], [0.7500, 0.6981, 0.1705], [0.2500, 0.8019, 0.6705], [0.7500, 0.0023, 0.8387], [0.7500, 0.3415, 0.0554], [0.2500, 0.9977, 0.1613], [0.2500, 0.1585, 0.5554], [0.2500, 0.6585, 0.9446], [0.7500, 0.8415, 0.4446], [0.2500, 0.4977, 0.3387], [0.7500, 0.5023, 0.6613]], "sg": "Pnma", "n_ef_per_ev_cell": 7.9}

---

What are the energy relative to the elements, uncorrected values for these records? In order: -0.78 -1.17 -1.15 -0.91 -1.06 -0.27 -0.93 -0.85 eV/atom.